VASP calculation (PBE) on CdCo2As after structural relaxation.

Output
DOS at the Fermi energy = 1.02 states/eV/atom
raw total energy = -4.73 eV per atom
ΔE_f = 218 meV per atom
ΔE to the lowest computed polymorph = 0.138 eV/atom

Lattice parameters (Å, degrees): 8.329 2.965 5.140 90.00 99.47 90.00
Space group Cm (No. 8)
Inequivalent atoms, fractional coordinates:
Cd 0.000 0.000 0.000
Co 0.014 0.500 0.536
Co 0.246 0.000 0.714
As 0.282 0.500 0.379

=====

VASP calculation (PBE) on CdIn4GeSe8 after structural relaxation.

Output
DOS at the Fermi energy = 0.17 states/eV/atom
raw total energy = -3.63 eV per atom

Lattice parameters (Å, degrees): 8.2420 8.2420 19.7286 90.00 90.00 120.00
Space group R3m (No. 160, hexagonal axes)
Inequivalent atoms, fractional coordinates:
Cd 0.0000 0.0000 0.0000
In 0.0000 0.0000 0.2356
In 0.1698 0.3396 0.4520
Ge 0.0000 0.0000 0.6234
Se 0.0000 0.0000 0.3756
Se 0.0000 0.0000 0.8625
Se 0.0247 0.5124 0.3733
Se 0.1787 0.3574 0.1994

=====

VASP calculation (PBE) on Rb4LiH3S4O16 after structural relaxation.

Output
DOS at the Fermi energy = 0.00 states/eV/atom
raw total energy = -5.64 eV per atom

Lattice parameters (Å, degrees): 7.761 7.761 30.108 90.00 90.00 90.00
Space group P4_1 (No. 76)
Inequivalent atoms, fractional coordinates:
Rb 0.014 0.726 0.104
Rb 0.026 0.483 0.866
Rb 0.114 0.863 0.736
Rb 0.383 0.433 0.250
Li 0.223 0.630 0.552
H 0.187 0.809 0.200
H 0.235 0.336 0.150
H 0.282 0.434 0.682
S 0.034 0.194 0.114
S 0.038 0.376 0.487
S 0.089 0.377 0.736
S 0.468 0.504 0.368
O 0.005 0.497 0.263
O 0.014 0.698 0.200
O 0.017 0.654 0.587
O 0.057 0.476 0.970
O 0.072 0.756 0.007
O 0.087 0.840 0.840
O 0.095 0.111 0.881
O 0.121 0.294 0.443
O 0.125 0.267 0.157
O 0.168 0.240 0.763
O 0.184 0.421 0.516
O 0.239 0.483 0.713
O 0.338 0.390 0.348
O 0.344 0.378 0.639
O 0.410 0.435 0.833
O 0.411 0.433 0.154

=====

VASP calculation (PBE) on Ac2GeN3 after structural relaxation.

Output
DOS at the Fermi energy = 0.33 states/eV/atom
raw total energy = -7.04 eV per atom

Lattice parameters (Å, degrees): 5.721 11.691 12.471 90.00 90.00 90.00
Space group Cmce (No. 64)
Inequivalent atoms, fractional coordinates:
Ac 0.000 0.044 0.145
Ac 0.000 0.144 0.561
Ge 0.000 0.237 0.827
N 0.000 0.103 0.346
N 0.000 0.156 0.961
N 0.250 0.166 0.750

=====

VASP calculation (PBE) on PmSi3Pd10 after structural relaxation.

Output
DOS at the Fermi energy = 0.60 states/eV/atom
raw total energy = -5.90 eV per atom

Lattice parameters (Å, degrees): 12.291 12.291 12.291 90.00 90.00 90.00
Space group Fm-3m (No. 225)
Inequivalent atoms, fractional coordinates:
Pm 0.250 0.250 0.250
Si 0.000 0.000 0.235
Pd 0.000 0.172 0.328
Pd 0.115 0.115 0.115

=====

VASP calculation (PBE) on ZnCd3Pb after structural relaxation.

Output
DOS at the Fermi energy = 0.55 states/eV/atom
raw total energy = -1.07 eV per atom
ΔE_f = 480 meV per atom
ΔE to the lowest computed polymorph = 0.422 eV/atom

Lattice parameters (Å, degrees): 5.941 5.941 5.941 90.00 90.00 90.00
Space group Pm-3m (No. 221)
Inequivalent atoms, fractional coordinates:
Zn 0.000 0.000 0.000
Cd 0.000 0.500 0.500
Pb 0.500 0.500 0.500

=====

VASP calculation (PBE) on CePa2O7 after structural relaxation.

Output
raw total energy = -9.52 eV per atom
ΔE to the lowest computed polymorph = 0.000 eV/atom

Lattice parameters (Å, degrees): 3.8849 3.8849 31.5145 90.00 90.00 120.00
Space group R-3m (No. 166, hexagonal axes)
Inequivalent atoms, fractional coordinates:
Ce 0.0000 0.0000 0.0000
Pa 0.0000 0.0000 0.4333
O 0.0000 0.0000 0.0737
O 0.0000 0.0000 0.2212
O 0.0000 0.0000 0.3589
O 0.0000 0.0000 0.5000

=====

VASP calculation (PBE) on Ba2DyMg12Cd3 after structural relaxation.

Output
DOS at the Fermi energy = 0.50 states/eV/atom
raw total energy = -1.51 eV per atom
ΔE_f = 174 meV per atom

Lattice parameters (Å, degrees): 8.8533 8.8533 25.3262 90.00 90.00 120.00
Space group R-3m (No. 166, hexagonal axes)
Inequivalent atoms, fractional coordinates:
Ba 0.0000 0.0000 0.0824
Dy 0.0000 0.0000 0.5000
Mg 0.0827 0.5413 0.8696
Mg 0.1031 0.5515 0.2668
Cd 0.0000 0.5000 0.0000

=====

VASP calculation (PBE) on MgSiSb2 after structural relaxation.

Output
DOS at the Fermi energy = 0.48 states/eV/atom
raw total energy = -3.77 eV per atom

Lattice parameters (Å, degrees): 3.8984 3.8984 22.2595 90.00 90.00 120.00
Space group R-3m (No. 166, hexagonal axes)
Inequivalent atoms, fractional coordinates:
Mg 0.0000 0.0000 0.0000
Si 0.0000 0.0000 0.5000
Sb 0.0000 0.0000 0.2404

=====

VASP calculation (PBE) on Tl12Te5Se2 after structural relaxation.

Output
DOS at the Fermi energy = 0.27 states/eV/atom
raw total energy = -2.92 eV per atom
ΔE to the lowest computed polymorph = 0.025 eV/atom

Lattice parameters (Å, degrees): 18.967 8.399 8.656 90.00 93.94 90.00
Space group C2/m (No. 12)
Inequivalent atoms, fractional coordinates:
Tl 0.004 0.000 0.233
Tl 0.060 0.500 0.322
Tl 0.149 0.242 0.988
Tl 0.169 0.261 0.571
Te 0.000 0.500 0.000
Te 0.175 0.000 0.277
Te 0.229 0.500 0.220
Se 0.000 0.238 0.500

=====

VASP calculation (PBE) on Sm8Te4As3S after structural relaxation.

Output
DOS at the Fermi energy = 0.51 states/eV/atom
raw total energy = -5.85 eV per atom

Lattice parameters (Å, degrees): 8.5010 8.5010 21.7056 90.00 90.00 120.00
Space group R-3m (No. 166, hexagonal axes)
Inequivalent atoms, fractional coordinates:
Sm 0.0000 0.0000 0.2398
Sm 0.0031 0.5016 0.2384
Te 0.0000 0.0000 0.0000
Te 0.0000 0.5000 0.0000
As 0.0000 0.5000 0.5000
S 0.0000 0.0000 0.5000

=====

VASP calculation (PBE) on MgOsAu after structural relaxation.

Output
DOS at the Fermi energy = 1.10 states/eV/atom
raw total energy = -4.63 eV per atom
ΔE_f = 741 meV per atom
ΔE to the lowest computed polymorph = 0.523 eV/atom

Lattice parameters (Å, degrees): 6.204 6.204 6.204 90.00 90.00 90.00
Space group F-43m (No. 216)
Inequivalent atoms, fractional coordinates:
Mg 0.000 0.000 0.000
Os 0.000 0.000 0.500
Au 0.250 0.250 0.250

=====

The highest raw total energy belongs to which entry?
ZnCd3Pb

=====

raw total energy of number 10 (Tl12Te5Se2)?
-2.92 eV per atom

=====

What did the first record say?
VASP calculation (PBE) on CdCo2As after structural relaxation.

Output
DOS at the Fermi energy = 1.02 states/eV/atom
raw total energy = -4.73 eV per atom
ΔE_f = 218 meV per atom
ΔE to the lowest computed polymorph = 0.138 eV/atom

Lattice parameters (Å, degrees): 8.329 2.965 5.140 90.00 99.47 90.00
Space group Cm (No. 8)
Inequivalent atoms, fractional coordinates:
Cd 0.000 0.000 0.000
Co 0.014 0.500 0.536
Co 0.246 0.000 0.714
As 0.282 0.500 0.379